1.
10
Lattice="5.105 0.000 0.000 0.000 5.105 0.000 0.000 0.000 16.556" Properties=species:S:1:pos:R:3 comment="PBE Cs2CdAuBr, optimized geometry" magnetic_moment_mub_per_cell=0.0 sg="P4/nmm (129)" pbc="T T T"
Cs 1.276 1.276 1.926
Cs 1.276 1.276 11.136
Cs 3.828 3.828 5.420
Cs 3.828 3.828 14.630
Cd 1.276 3.828 8.278
Cd 3.828 1.276 8.278
Au 1.276 1.276 6.866
Au 3.828 3.828 9.691
Br 1.276 1.276 14.818
Br 3.828 3.828 1.738

2.
5
Lattice="5.105 0.000 0.000 0.000 5.105 0.000 0.000 0.000 4.911" Properties=species:S:1:pos:R:3 comment="PBE HfCdAu2Br, optimized geometry" magnetic_moment_mub_per_cell=0.0 sg="P4/mmm (123)" pbc="T T T"
Hf 0.000 0.000 0.000
Cd 2.552 2.552 0.000
Au 0.000 2.552 2.455
Au 2.552 0.000 2.455
Br 0.000 0.000 2.455

3.
5
Lattice="5.391 0.000 0.000 0.000 5.391 0.000 0.000 0.000 5.401" Properties=species:S:1:pos:R:3 comment="PBE CdHg2AuBr, optimized geometry" magnetic_moment_mub_per_cell=0.0 sg="P4/mmm (123)" pbc="T T T"
Cd 0.000 0.000 0.000
Hg 0.000 2.696 2.700
Hg 2.696 0.000 2.700
Au 0.000 0.000 2.700
Br 2.696 2.696 0.000

| no. | ΔE_f (raw) (eV per formula unit) |
| --- | --- |
| 1 | -4.202 |
| 2 | 4.085 |
| 3 | -0.534 |